Entry 1:
Here is crystalline Tb4GeI5 at its relaxed geometry from OQMD. Energies are from PBE.

Geometry as POSCAR:
```
Tb4GeI5
1.0
9.565 -2.109 0.000
9.565 2.109 0.000
-1.917 0.000 8.632
Tb I Ge
4 5 1
Direct
0.353 0.353 0.927
0.000 0.000 0.788
0.647 0.647 0.073
0.000 0.000 0.212
0.172 0.172 0.827
0.166 0.166 0.335
0.500 0.500 0.500
0.834 0.834 0.665
0.828 0.828 0.173
0.500 0.500 0.000
```

Values from the calculation:
* space-group type: No. 12

=====

Entry 2:
Here is crystalline KTmCdSe3 at its relaxed geometry from OQMD. Energies are from PBE.

Geometry as POSCAR:
```
KTmCdSe3
1.0
12.195 0.000 0.000
0.000 4.231 0.000
0.000 0.000 13.044
Se K Cd Tm
12 4 4 4
Direct
0.454 0.000 0.321
0.766 0.000 0.841
0.086 0.000 0.429
0.414 0.500 0.929
0.234 0.500 0.159
0.046 0.500 0.821
0.586 0.000 0.071
0.954 0.000 0.179
0.266 0.000 0.659
0.546 0.500 0.679
0.734 0.500 0.341
0.914 0.500 0.571
0.343 0.500 0.489
0.157 0.000 0.989
0.843 0.500 0.011
0.657 0.000 0.511
0.737 0.000 0.217
0.263 0.500 0.783
0.763 0.500 0.717
0.237 0.000 0.283
0.462 0.500 0.167
0.038 0.000 0.667
0.538 0.000 0.833
0.962 0.500 0.333
```

Values from the calculation:
* space-group type: No. 62

=====

Entry 3:
Here is crystalline ZrFeGeMo at its relaxed geometry from OQMD. Energies are from PBE.

Geometry as POSCAR:
```
ZrFeGeMo
1.0
0.638 -3.032 3.191
-3.486 -1.720 2.162
-1.175 -4.234 -0.689
Mo Zr Ge Fe
1 1 1 1
Direct
0.250 0.250 0.250
0.500 0.500 0.500
0.000 0.000 0.000
0.750 0.750 0.750
```

Values from the calculation:
* space-group type: No. 216

=====

Entry 4:
Here is crystalline CdGeSb at its relaxed geometry from OQMD. Energies are from PBE.

Geometry as POSCAR:
```
CdGeSb
1.0
-1.961 1.185 4.389
-2.135 4.420 0.645
-4.914 0.325 0.509
Ge Sb Cd
1 1 1
Direct
0.000 0.000 0.000
0.750 0.750 0.750
0.500 0.500 0.500
```

Values from the calculation:
* space-group type: No. 216

=====

no.,VASP energy (eV/atom)
1,-4.282
2,-4.078
3,-8.080
4,-2.956